# Pr2Nd4Tl5 | the Alexandria database | PBE-GGA | optimized geometry
data_Pr2Nd4Tl5
_cell_length_a 6.795
_cell_length_b 6.633
_cell_length_c 10.893
_cell_angle_alpha 80.81
_cell_angle_beta 71.83
_cell_angle_gamma 59.19
_symmetry_space_group_name_H-M 'P 1'
_symmetry_Int_Tables_number 1
loop_
_symmetry_equiv_pos_as_xyz
'x,y,z'
loop_
_atom_site_label
_atom_site_type_symbol
_atom_site_fract_x
_atom_site_fract_y
_atom_site_fract_z
Tl1 Tl 0.000 0.500 0.000
Tl2 Tl 0.500 0.500 0.000
Tl3 Tl 0.250 0.500 0.500
Tl4 Tl 0.750 0.500 0.500
Tl5 Tl 0.500 0.000 0.000
Pr1 Pr 0.806 0.000 0.388
Pr2 Pr 0.194 0.000 0.612
Nd1 Nd 0.471 0.318 0.740
Nd2 Nd 0.789 0.682 0.740
Nd3 Nd 0.211 0.318 0.260
Nd4 Nd 0.529 0.682 0.260
# SG	No. 69
# M_tot	0.000	μB/atom
# V	36.423	Å³ per atom
# uncorrected energy	-40.93	eV for the cell shown

=====

# YHRh3 | the Alexandria database | PBE-GGA | optimized geometry
data_YHRh3
_cell_length_a 5.801
_cell_length_b 5.801
_cell_length_c 5.801
_cell_angle_alpha 60.51
_cell_angle_beta 60.51
_cell_angle_gamma 60.51
_symmetry_space_group_name_H-M 'P 1'
_symmetry_Int_Tables_number 1
loop_
_symmetry_equiv_pos_as_xyz
'x,y,z'
loop_
_atom_site_label
_atom_site_type_symbol
_atom_site_fract_x
_atom_site_fract_y
_atom_site_fract_z
Rh1 Rh 0.741 0.741 0.267
Rh2 Rh 0.259 0.259 0.733
Rh3 Rh 0.741 0.267 0.741
Rh4 Rh 0.733 0.259 0.259
Rh5 Rh 0.259 0.733 0.259
Rh6 Rh 0.267 0.741 0.741
H1 H 0.927 0.927 0.927
H2 H 0.073 0.073 0.073
Y1 Y 0.247 0.247 0.247
Y2 Y 0.753 0.753 0.753
# SG	No. 166
# M_tot	0.000	μB/atom
# distance to the lowest polymorph of the same formula	24.5	meV per atom
# V	13.960	Å³ per atom
# uncorrected energy	-68.43	eV for the cell shown

=====

# ScSb2WC | the Alexandria database | PBE-GGA | optimized geometry
data_ScSb2WC
_cell_length_a 4.925
_cell_length_b 4.016
_cell_length_c 4.925
_cell_angle_alpha 90.00
_cell_angle_beta 90.00
_cell_angle_gamma 90.00
_symmetry_space_group_name_H-M 'P 1'
_symmetry_Int_Tables_number 1
loop_
_symmetry_equiv_pos_as_xyz
'x,y,z'
loop_
_atom_site_label
_atom_site_type_symbol
_atom_site_fract_x
_atom_site_fract_y
_atom_site_fract_z
Sb1 Sb 0.000 0.000 0.500
Sb2 Sb 0.500 0.000 0.000
Sc1 Sc 0.500 0.500 0.500
C1 C 0.000 0.000 0.000
W1 W 0.000 0.500 0.000
# SG	No. 123
# M_tot	0.000	μB/atom
# uncorrected formation energy	493	meV per atom
# V	19.479	Å³ per atom
# uncorrected energy	-34.29	eV for the cell shown

=====

# K6HgSe4 | the Alexandria database | PBE-GGA | optimized geometry
data_K6HgSe4
_cell_length_a 10.491
_cell_length_b 10.491
_cell_length_c 8.009
_cell_angle_alpha 90.00
_cell_angle_beta 90.00
_cell_angle_gamma 120.00
_symmetry_space_group_name_H-M 'P 1'
_symmetry_Int_Tables_number 1
loop_
_symmetry_equiv_pos_as_xyz
'x,y,z'
loop_
_atom_site_label
_atom_site_type_symbol
_atom_site_fract_x
_atom_site_fract_y
_atom_site_fract_z
Se1 Se 0.378 0.189 0.105
Se2 Se 0.333 0.667 0.154
Se3 Se 0.811 0.189 0.105
Se4 Se 0.189 0.378 0.605
Se5 Se 0.189 0.811 0.605
Se6 Se 0.622 0.811 0.605
Se7 Se 0.811 0.622 0.105
Se8 Se 0.667 0.333 0.654
K1 K 0.851 0.702 0.706
K2 K 0.527 0.055 0.378
K3 K 0.055 0.527 0.878
K4 K 0.702 0.851 0.206
K5 K 0.149 0.851 0.206
K6 K 0.149 0.298 0.206
K7 K 0.851 0.149 0.706
K8 K 0.473 0.945 0.878
K9 K 0.527 0.473 0.378
K10 K 0.473 0.527 0.878
K11 K 0.945 0.473 0.378
K12 K 0.298 0.149 0.706
Hg1 Hg 0.667 0.333 0.001
Hg2 Hg 0.333 0.667 0.501
# SG	No. 186
# M_tot	0.000	μB/atom
# uncorrected formation energy	-1014	meV per atom
# V	34.695	Å³ per atom
# uncorrected energy	-63.97	eV for the cell shown

=====

# DyTmScZn | the Alexandria database | PBE-GGA | optimized geometry
data_DyTmScZn
_cell_length_a 3.489
_cell_length_b 3.489
_cell_length_c 8.241
_cell_angle_alpha 90.00
_cell_angle_beta 90.00
_cell_angle_gamma 90.00
_symmetry_space_group_name_H-M 'P 1'
_symmetry_Int_Tables_number 1
loop_
_symmetry_equiv_pos_as_xyz
'x,y,z'
loop_
_atom_site_label
_atom_site_type_symbol
_atom_site_fract_x
_atom_site_fract_y
_atom_site_fract_z
Zn1 Zn 0.000 0.000 0.567
Dy1 Dy 0.500 0.500 0.789
Tm1 Tm 0.500 0.500 0.354
Sc1 Sc 0.000 0.000 0.074
# SG	No. 99
# M_tot	0.000	μB/atom
# distance to the lowest polymorph of the same formula	0.0	meV per atom
# V	25.077	Å³ per atom
# uncorrected energy	-17.26	eV for the cell shown

=====

# Sm8Zn2Te | the Alexandria database | PBE-GGA | optimized geometry
data_Sm8Zn2Te
_cell_length_a 5.669
_cell_length_b 8.209
_cell_length_c 8.209
_cell_angle_alpha 115.90
_cell_angle_beta 99.17
_cell_angle_gamma 99.17
_symmetry_space_group_name_H-M 'P 1'
_symmetry_Int_Tables_number 1
loop_
_symmetry_equiv_pos_as_xyz
'x,y,z'
loop_
_atom_site_label
_atom_site_type_symbol
_atom_site_fract_x
_atom_site_fract_y
_atom_site_fract_z
Sm1 Sm 0.700 0.398 0.398
Sm2 Sm 0.100 0.077 0.314
Sm3 Sm 0.900 0.686 0.923
Sm4 Sm 0.500 0.760 0.240
Sm5 Sm 0.100 0.314 0.077
Sm6 Sm 0.900 0.923 0.686
Sm7 Sm 0.300 0.602 0.602
Sm8 Sm 0.500 0.240 0.760
Te1 Te 0.500 0.000 0.000
Zn1 Zn 0.000 0.310 0.690
Zn2 Zn 0.000 0.690 0.310
# SG	No. 12
# M_tot	0.000	μB/atom
# uncorrected formation energy	-208	meV per atom
# V	29.801	Å³ per atom
# uncorrected energy	-45.73	eV for the cell shown

=====

# RbLiP2Cl | the Alexandria database | PBE-GGA | optimized geometry
data_RbLiP2Cl
_cell_length_a 6.425
_cell_length_b 6.425
_cell_length_c 6.035
_cell_angle_alpha 90.00
_cell_angle_beta 90.00
_cell_angle_gamma 90.00
_symmetry_space_group_name_H-M 'P 1'
_symmetry_Int_Tables_number 1
loop_
_symmetry_equiv_pos_as_xyz
'x,y,z'
loop_
_atom_site_label
_atom_site_type_symbol
_atom_site_fract_x
_atom_site_fract_y
_atom_site_fract_z
Li1 Li 0.500 0.500 0.500
Rb1 Rb 0.000 0.000 0.000
P1 P 0.500 0.000 0.000
P2 P 0.000 0.500 0.000
Cl1 Cl 0.000 0.000 0.500
# SG	No. 123
# M_tot	1.000	μB/atom
# uncorrected formation energy	777	meV per atom
# distance to the lowest polymorph of the same formula	802.1	meV per atom
# V	49.832	Å³ per atom
# uncorrected energy	-11.66	eV for the cell shown

=====

# CaSbPtI2 | the Alexandria database | PBE-GGA | optimized geometry
data_CaSbPtI2
_cell_length_a 5.740
_cell_length_b 5.740
_cell_length_c 6.340
_cell_angle_alpha 90.00
_cell_angle_beta 90.00
_cell_angle_gamma 90.00
_symmetry_space_group_name_H-M 'P 1'
_symmetry_Int_Tables_number 1
loop_
_symmetry_equiv_pos_as_xyz
'x,y,z'
loop_
_atom_site_label
_atom_site_type_symbol
_atom_site_fract_x
_atom_site_fract_y
_atom_site_fract_z
Pt1 Pt 0.500 0.500 0.500
Sb1 Sb 0.000 0.000 0.500
I1 I 0.500 0.000 0.000
I2 I 0.000 0.500 0.000
Ca1 Ca 0.000 0.000 0.000
# SG	No. 123
# M_tot	0.244	μB/atom
# uncorrected formation energy	554	meV per atom
# distance to the lowest polymorph of the same formula	786.0	meV per atom
# V	41.784	Å³ per atom
# uncorrected energy	-12.49	eV for the cell shown

=====

# LiTaTl2S4 | the Alexandria database | PBE-GGA | optimized geometry
data_LiTaTl2S4
_cell_length_a 7.429
_cell_length_b 7.089
_cell_length_c 6.524
_cell_angle_alpha 120.25
_cell_angle_beta 122.05
_cell_angle_gamma 93.95
_symmetry_space_group_name_H-M 'P 1'
_symmetry_Int_Tables_number 1
loop_
_symmetry_equiv_pos_as_xyz
'x,y,z'
loop_
_atom_site_label
_atom_site_type_symbol
_atom_site_fract_x
_atom_site_fract_y
_atom_site_fract_z
Li1 Li 0.985 0.485 0.972
Tl1 Tl 0.411 0.911 0.821
Tl2 Tl 0.206 0.207 0.412
S1 S 0.816 0.452 0.215
S2 S 0.061 0.123 0.819
S3 S 0.761 0.699 0.823
S4 S 0.399 0.763 0.217
Ta1 Ta 0.748 0.748 0.495
# SG	No. 1
# M_tot	0.000	μB/atom
# uncorrected formation energy	-825	meV per atom
# V	27.933	Å³ per atom
# uncorrected energy	-41.61	eV for the cell shown

=====

# Sr3SnPb | the Alexandria database | PBE-GGA | optimized geometry
data_Sr3SnPb
_cell_length_a 6.763
_cell_length_b 11.564
_cell_length_c 11.527
_cell_angle_alpha 112.98
_cell_angle_beta 90.00
_cell_angle_gamma 90.00
_symmetry_space_group_name_H-M 'P 1'
_symmetry_Int_Tables_number 1
loop_
_symmetry_equiv_pos_as_xyz
'x,y,z'
loop_
_atom_site_label
_atom_site_type_symbol
_atom_site_fract_x
_atom_site_fract_y
_atom_site_fract_z
Sr1 Sr 0.787 0.438 0.063
Sr2 Sr 0.082 0.356 0.344
Sr3 Sr 0.094 0.154 0.806
Sr4 Sr 0.287 0.062 0.437
Sr5 Sr 0.582 0.144 0.156
Sr6 Sr 0.918 0.644 0.656
Sr7 Sr 0.418 0.856 0.844
Sr8 Sr 0.406 0.654 0.306
Sr9 Sr 0.906 0.846 0.194
Sr10 Sr 0.713 0.938 0.563
Sr11 Sr 0.213 0.562 0.937
Sr12 Sr 0.594 0.346 0.694
Sn1 Sn 0.197 0.851 0.578
Sn2 Sn 0.697 0.649 0.922
Sn3 Sn 0.803 0.149 0.422
Sn4 Sn 0.303 0.351 0.078
Pb1 Pb 0.590 0.149 0.864
Pb2 Pb 0.090 0.351 0.636
Pb3 Pb 0.410 0.851 0.136
Pb4 Pb 0.910 0.649 0.364
# SG	No. 14
# M_tot	0.000	μB/atom
# distance to the lowest polymorph of the same formula	0.0	meV per atom
# V	41.492	Å³ per atom
# uncorrected energy	-60.47	eV for the cell shown

=====

# CsTl3Re | the Alexandria database | PBE-GGA | optimized geometry
data_CsTl3Re
_cell_length_a 5.456
_cell_length_b 5.456
_cell_length_c 5.456
_cell_angle_alpha 90.00
_cell_angle_beta 90.00
_cell_angle_gamma 90.00
_symmetry_space_group_name_H-M 'P 1'
_symmetry_Int_Tables_number 1
loop_
_symmetry_equiv_pos_as_xyz
'x,y,z'
loop_
_atom_site_label
_atom_site_type_symbol
_atom_site_fract_x
_atom_site_fract_y
_atom_site_fract_z
Tl1 Tl 0.500 0.000 0.000
Tl2 Tl 0.000 0.000 0.500
Tl3 Tl 0.000 0.500 0.000
Cs1 Cs 0.500 0.500 0.500
Re1 Re 0.000 0.000 0.000
# SG	No. 221
# M_tot	0.000	μB/atom
# distance to the lowest polymorph of the same formula	0.0	meV per atom
# V	32.481	Å³ per atom
# uncorrected energy	-18.87	eV for the cell shown

=====

# Tb7Cd2Te2 | the Alexandria database | PBE-GGA | optimized geometry
data_Tb7Cd2Te2
_cell_length_a 6.836
_cell_length_b 7.633
_cell_length_c 6.836
_cell_angle_alpha 90.00
_cell_angle_beta 106.14
_cell_angle_gamma 90.00
_symmetry_space_group_name_H-M 'P 1'
_symmetry_Int_Tables_number 1
loop_
_symmetry_equiv_pos_as_xyz
'x,y,z'
loop_
_atom_site_label
_atom_site_type_symbol
_atom_site_fract_x
_atom_site_fract_y
_atom_site_fract_z
Tb1 Tb 0.000 0.000 0.000
Tb2 Tb 0.500 0.731 0.500
Tb3 Tb 0.500 0.281 0.000
Tb4 Tb 0.000 0.719 0.500
Tb5 Tb 0.000 0.281 0.500
Tb6 Tb 0.500 0.269 0.500
Tb7 Tb 0.500 0.719 0.000
Cd1 Cd 0.828 0.500 0.828
Cd2 Cd 0.172 0.500 0.172
Te1 Te 0.282 0.000 0.718
Te2 Te 0.718 0.000 0.282
# SG	No. 65
# M_tot	0.000	μB/atom
# uncorrected formation energy	-325	meV per atom
# V	31.145	Å³ per atom
# uncorrected energy	-44.10	eV for the cell shown

=====

Q: Which of these has the highest V?
A: RbLiP2Cl